5
Lattice="4.7988 0.0000 0.0000 0.0000 4.7988 0.0000 0.0000 0.0000 5.3335" Properties=species:S:1:pos:R:3 comment="YHf2PRu | Alexandria via LeMat-Bulk | SCAN | PBEsol geometry" formation_energy_ev_per_atom=0.1357 spacegroup="No. 123" rho_g_cm3=7.81 pbc="T T T"
P 2.3994 2.3994 2.6668
Hf 2.3994 0.0000 0.0000
Hf 0.0000 2.3994 0.0000
Ru 0.0000 0.0000 0.0000
Y 0.0000 0.0000 2.6668